Below is a relaxed structure of MnGaCu6, with properties calculated at the GGA-PBE level.

For the density of states at the Fermi level, the calculation gives 2.27 states/eV/cell. Its total magnetization is 3.911 μB per formula unit. For the calculated formation energy, the calculation gives -0.4 meV per atom.

Unit cell a=5.198 b=5.198 c=4.306 alpha=90.00 beta=90.00 gamma=120.00
Fractional positions:
Mn  0.000  0.000  0.000
Ga  0.667  0.333  0.500
Cu  0.003  0.501  0.000
Cu  0.167  0.334  0.500
Cu  0.167  0.833  0.500
Cu  0.499  0.501  0.000
Cu  0.499  0.997  0.000
Cu  0.666  0.833  0.500